Material: LiVF6
Method: DFT, PBE+U
State: relaxed

Results
Calculated total energy (eV per atom): -5.2268

Structure (CIF):
```
data_LiVF6
_cell_length_a 5.322
_cell_length_b 5.418
_cell_length_c 9.270
_cell_angle_alpha 90.00
_cell_angle_beta 124.98
_cell_angle_gamma 90.00
_space_group_name_H-M_alt 'P 1 21/c 1'
_space_group_IT_number 14
loop_
_space_group_symop_operation_xyz
'x,y,z'
'-x,-y,-z'
'-x,y+1/2,-z+1/2'
'x,-y+1/2,z+1/2'
loop_
_atom_site_label
_atom_site_type_symbol
_atom_site_fract_x
_atom_site_fract_y
_atom_site_fract_z
Li1 Li 0.000 0.000 0.000
V1 V 0.500 0.000 0.500
F1 F 0.200 0.203 0.467
F2 F 0.266 0.734 0.467
F3 F 0.332 0.008 0.266
```